1.
A relaxed Zr2Al4C5 crystal, computed with GGA-PBEsol.

Crystal system: trigonal
ΔH_f (0 K): -399 meV/atom
Total magnetic moment: 0.0 Bohr magnetons per cell

abc: 13.750 13.750 13.750
angles: 13.92 13.92 13.92
Sites, in units of the cell vectors:
1 Zr 0.134 0.134 0.134
2 Zr 0.866 0.866 0.866
3 Al 0.311 0.311 0.311
4 Al 0.411 0.411 0.411
5 Al 0.589 0.589 0.589
6 Al 0.689 0.689 0.689
7 C 0.234 0.234 0.234
8 C 0.364 0.364 0.364
9 C 0.500 0.500 0.500
10 C 0.636 0.636 0.636
11 C 0.766 0.766 0.766

2.
A relaxed Ca3Al crystal, computed with GGA-PBEsol.

Crystal system: orthorhombic
ΔH_f (0 K): -42 meV/atom
Total magnetic moment: 0.0 Bohr magnetons per cell

abc: 6.853 6.853 6.853
angles: 147.51 130.95 60.07
Sites, in units of the cell vectors:
1 Ca 0.000 0.000 0.000
2 Ca 0.292 0.792 0.500
3 Ca 0.708 0.208 0.500
4 Al 0.500 0.500 0.000

3.
A relaxed Ca2Al crystal, computed with GGA-PBEsol.

Crystal system: cubic
ΔH_f (0 K): -122 meV/atom
Total magnetic moment: 0.0 Bohr magnetons per cell

abc: 10.149 10.149 10.149
angles: 60.00 60.00 60.00
Sites, in units of the cell vectors:
1 Ca 0.000 0.000 0.000
2 Ca 0.000 0.000 0.500
3 Ca 0.000 0.500 0.000
4 Ca 0.181 0.181 0.569
5 Ca 0.181 0.569 0.181
6 Ca 0.181 0.569 0.569
7 Ca 0.431 0.431 0.819
8 Ca 0.431 0.819 0.431
9 Ca 0.431 0.819 0.819
10 Ca 0.500 0.000 0.000
11 Ca 0.569 0.181 0.181
12 Ca 0.569 0.181 0.569
13 Ca 0.569 0.569 0.181
14 Ca 0.819 0.431 0.431
15 Ca 0.819 0.431 0.819
16 Ca 0.819 0.819 0.431
17 Al 0.111 0.796 0.796
18 Al 0.204 0.204 0.204
19 Al 0.204 0.204 0.889
20 Al 0.204 0.889 0.204
21 Al 0.796 0.111 0.796
22 Al 0.796 0.796 0.111
23 Al 0.796 0.796 0.796
24 Al 0.889 0.204 0.204

4.
A relaxed Ca3Al crystal, computed with GGA-PBEsol.

Crystal system: tetragonal
ΔH_f (0 K): -66 meV/atom
Total magnetic moment: 0.0 Bohr magnetons per cell

abc: 9.551 9.551 9.551
angles: 148.20 148.20 45.59
Sites, in units of the cell vectors:
1 Ca 0.000 0.500 0.500
2 Ca 0.127 0.127 0.000
3 Ca 0.250 0.750 0.500
4 Ca 0.500 0.000 0.500
5 Ca 0.750 0.250 0.500
6 Ca 0.873 0.873 0.000
7 Al 0.365 0.365 0.000
8 Al 0.635 0.635 0.000

5.
A relaxed Ca3Al4 crystal, computed with GGA-PBEsol.

Crystal system: tetragonal
ΔH_f (0 K): -108 meV/atom
Total magnetic moment: 0.0 Bohr magnetons per cell

abc: 14.616 14.616 14.616
angles: 166.54 166.54 19.08
Sites, in units of the cell vectors:
1 Ca 0.000 0.000 0.000
2 Ca 0.305 0.305 0.000
3 Ca 0.695 0.695 0.000
4 Al 0.122 0.122 0.000
5 Al 0.425 0.425 0.000
6 Al 0.575 0.575 0.000
7 Al 0.878 0.878 0.000

6.
A relaxed CaAl4 crystal, computed with GGA-PBEsol.

Crystal system: tetragonal
ΔH_f (0 K): -170 meV/atom
Total magnetic moment: 0.0 Bohr magnetons per cell

abc: 6.382 6.382 6.382
angles: 140.71 140.71 56.78
Sites, in units of the cell vectors:
1 Ca 0.000 0.000 0.000
2 Al 0.250 0.750 0.500
3 Al 0.387 0.387 0.000
4 Al 0.613 0.613 0.000
5 Al 0.750 0.250 0.500

7.
A relaxed CaAl5 crystal, computed with GGA-PBEsol.

Crystal system: monoclinic
ΔH_f (0 K): 9 meV/atom
Total magnetic moment: 0.0 Bohr magnetons per cell

abc: 6.096 6.096 6.463
angles: 104.29 104.29 29.75
Sites, in units of the cell vectors:
1 Ca 0.000 0.000 0.000
2 Al 0.000 0.000 0.500
3 Al 0.307 0.307 0.182
4 Al 0.336 0.336 0.626
5 Al 0.664 0.664 0.374
6 Al 0.693 0.693 0.818

8.
A relaxed Ca4Al crystal, computed with GGA-PBEsol.

Crystal system: tetragonal
ΔH_f (0 K): 344 meV/atom
Total magnetic moment: 0.0 Bohr magnetons per cell

abc: 9.975 9.975 9.975
angles: 154.79 154.79 35.95
Sites, in units of the cell vectors:
1 Ca 0.086 0.086 0.000
2 Ca 0.250 0.750 0.500
3 Ca 0.750 0.250 0.500
4 Ca 0.914 0.914 0.000
5 Al 0.500 0.500 0.000

9.
A relaxed CaAl crystal, computed with GGA-PBEsol.

Crystal system: orthorhombic
ΔH_f (0 K): -164 meV/atom
Total magnetic moment: 0.0 Bohr magnetons per cell

abc: 6.166 6.166 6.166
angles: 145.32 130.21 62.10
Sites, in units of the cell vectors:
1 Ca 0.354 0.104 0.250
2 Ca 0.646 0.896 0.750
3 Al 0.091 0.341 0.750
4 Al 0.909 0.659 0.250

10.
A relaxed Ca3Al crystal, computed with GGA-PBEsol.

Crystal system: tetragonal
ΔH_f (0 K): -100 meV/atom
Total magnetic moment: 0.0 Bohr magnetons per cell

abc: 3.697 3.697 9.496
angles: 90.00 90.00 90.00
Sites, in units of the cell vectors:
1 Ca 0.000 0.000 0.000
2 Ca 0.500 0.500 0.307
3 Ca 0.500 0.500 0.693
4 Al 0.000 0.000 0.500

11.
A relaxed Ca2Al crystal, computed with GGA-PBEsol.

Crystal system: tetragonal
ΔH_f (0 K): -146 meV/atom
Total magnetic moment: 0.0 Bohr magnetons per cell

abc: 7.162 7.162 7.162
angles: 150.41 150.41 42.34
Sites, in units of the cell vectors:
1 Ca 0.139 0.139 0.000
2 Ca 0.861 0.861 0.000
3 Al 0.500 0.500 0.000

12.
A relaxed Ca8Al3 crystal, computed with GGA-PBEsol.

Crystal system: triclinic
ΔH_f (0 K): -156 meV/atom
Total magnetic moment: 0.0 Bohr magnetons per cell

abc: 9.438 9.514 9.589
angles: 98.85 100.90 119.60
Sites, in units of the cell vectors:
1 Ca 0.031 0.201 0.151
2 Ca 0.046 0.213 0.798
3 Ca 0.166 0.621 0.390
4 Ca 0.201 0.998 0.609
5 Ca 0.275 0.653 0.800
6 Ca 0.379 0.902 0.149
7 Ca 0.420 0.270 0.393
8 Ca 0.458 0.561 0.169
9 Ca 0.542 0.439 0.831
10 Ca 0.580 0.730 0.607
11 Ca 0.621 0.098 0.851
12 Ca 0.725 0.347 0.200
13 Ca 0.799 0.002 0.391
14 Ca 0.834 0.379 0.610
15 Ca 0.954 0.787 0.202
16 Ca 0.969 0.799 0.849
17 Al 0.000 0.500 0.000
18 Al 0.176 0.340 0.527
19 Al 0.327 0.163 0.000
20 Al 0.500 0.000 0.500
21 Al 0.673 0.837 0.000
22 Al 0.824 0.660 0.473

- Which value of total magnetic moment does entry 7 give?
  0.0 Bohr magnetons per cell